1.
Density functional theory data (GGA-PBE) for crystalline AlGa3W at its relaxed geometry.

Geometry as POSCAR:
```
AlGa3W
1.0
4.9555 0.0000 0.0000
0.0000 4.9555 0.0000
0.0000 0.0000 4.9555
Ga W Al
3 1 1
direct
0.0000 0.5000 0.0000
0.5000 0.0000 0.0000
0.0000 0.0000 0.5000
0.0000 0.0000 0.0000
0.5000 0.5000 0.5000
```

Properties
Its energy of formation from the pure elements is 0.629 eV/atom. The density of states at the Fermi level comes out at 2.76 states/eV/f.u. The crystal system is cubic.



2.
Density functional theory data (GGA-PBE) for crystalline SnH6CI3N at its relaxed geometry.

Geometry as POSCAR:
```
SnH6CI3N
1.0
-3.5512 -8.0590 -1.2524
4.3157 -3.0583 7.3853
-9.7071 4.1994 7.4160
I H C Sn N
12 24 4 4 4
direct
0.7554 0.2807 0.9781
0.4624 0.5580 0.7490
0.2261 0.7461 0.0207
0.7263 0.2456 0.5207
0.9622 0.0572 0.2488
0.9636 0.9466 0.7490
0.7261 0.7574 0.0201
0.7572 0.7226 0.4799
0.2263 0.2578 0.5189
0.2567 0.7811 0.4785
0.4653 0.4472 0.2487
0.2561 0.2226 0.9798
0.4593 0.0972 0.1110
0.3811 0.0951 0.7307
0.0822 0.5466 0.1157
0.0827 0.4553 0.6163
0.6249 0.8887 0.6767
0.5820 0.9556 0.1169
0.4321 0.0802 0.2977
0.3812 0.9110 0.2321
0.1233 0.3862 0.1734
0.0666 0.5702 0.3025
0.5606 0.0742 0.8027
0.9616 0.5982 0.6111
0.8812 0.4117 0.7310
0.0619 0.4260 0.8021
0.4279 0.9247 0.7962
0.5822 0.0471 0.6166
0.1306 0.6113 0.6774
0.4572 0.9075 0.6099
0.9341 0.5796 0.7977
0.9308 0.4234 0.2962
0.8858 0.5959 0.2332
0.6281 0.1128 0.1772
0.5618 0.9281 0.3030
0.9546 0.4092 0.1090
0.4737 0.9862 0.2552
0.9755 0.5167 0.2546
0.9746 0.4856 0.7547
0.4720 0.0180 0.7542
0.4972 0.5106 0.9765
0.9978 0.0105 0.4763
0.9973 0.9936 0.9763
0.4986 0.4938 0.4760
0.0409 0.5414 0.6594
0.5393 0.0417 0.1596
0.0372 0.4610 0.1577
0.5377 0.9616 0.6589
```

Properties
The crystal system is triclinic.



The density results, record by record, are as follows: 5.73 3.39 g cm⁻³.
The total DFT energy (no corrections) results, record by record, are as follows: -22.632 -203.954 eV/cell.